The following is a DFT calculation (GGA-PBE) of a relaxed TbTm4Hg4 crystal.

a b c (Å): 9.470 9.470 5.444
angles (deg): 90.00 90.00 90.00
Fractional coordinates of all 18 atoms:
1 Tb 0.250 0.250 0.250
2 Tb 0.750 0.750 0.750
3 Tm 0.101 0.840 0.651
4 Tm 0.160 0.601 0.151
5 Tm 0.340 0.899 0.151
6 Tm 0.399 0.660 0.651
7 Tm 0.601 0.340 0.349
8 Tm 0.660 0.101 0.849
9 Tm 0.840 0.399 0.849
10 Tm 0.899 0.160 0.349
11 Hg 0.043 0.145 0.851
12 Hg 0.145 0.457 0.649
13 Hg 0.355 0.043 0.649
14 Hg 0.457 0.355 0.851
15 Hg 0.543 0.645 0.149
16 Hg 0.645 0.957 0.351
17 Hg 0.855 0.543 0.351
18 Hg 0.957 0.855 0.149

DFT formation energy ... -0.241 eV per atom
Symmetry ... P4_2/n

***

The following is a DFT calculation (GGA-PBE) of a relaxed Os crystal.

a b c (Å): 6.579 6.579 6.579
angles (deg): 109.47 109.47 109.47
Fractional coordinates of all 8 atoms:
1 Os 0.000 0.000 0.309
2 Os 0.000 0.000 0.671
3 Os 0.000 0.309 0.000
4 Os 0.000 0.671 0.000
5 Os 0.309 0.000 0.000
6 Os 0.329 0.329 0.329
7 Os 0.671 0.000 0.000
8 Os 0.691 0.691 0.691

DFT formation energy ... 1.717 eV per atom
Energy relative to the lowest polymorph listed for this composition ... 1716.6 meV/atom
Symmetry ... I-43m

***

The following is a DFT calculation (GGA-PBE) of a relaxed Ho8NiTe4S3 crystal.

a b c (Å): 8.395 8.395 8.395
angles (deg): 58.10 58.10 58.10
Fractional coordinates of all 16 atoms:
1 Ho 0.236 0.236 0.236
2 Ho 0.248 0.729 0.729
3 Ho 0.271 0.271 0.752
4 Ho 0.271 0.752 0.271
5 Ho 0.729 0.248 0.729
6 Ho 0.729 0.729 0.248
7 Ho 0.752 0.271 0.271
8 Ho 0.764 0.764 0.764
9 Ni 0.500 0.500 0.500
10 Te 0.000 0.000 0.000
11 Te 0.000 0.500 0.500
12 Te 0.500 0.000 0.500
13 Te 0.500 0.500 0.000
14 S 0.000 0.000 0.500
15 S 0.000 0.500 0.000
16 S 0.500 0.000 0.000

Symmetry ... R-3m
Raw formation energy ... -1.443 eV per atom

***

The following is a DFT calculation (GGA-PBE) of a relaxed Na2HfAsO6 crystal.

a b c (Å): 6.166 6.166 5.378
angles (deg): 90.00 90.00 120.00
Fractional coordinates of all 10 atoms:
1 Na 0.333 0.667 0.054
2 Na 0.667 0.333 0.946
3 Hf 0.000 0.000 0.500
4 As 0.000 0.000 0.000
5 O 0.137 0.274 0.217
6 O 0.137 0.863 0.217
7 O 0.274 0.137 0.783
8 O 0.726 0.863 0.217
9 O 0.863 0.137 0.783
10 O 0.863 0.726 0.783

Symmetry ... P-3m1
Raw formation energy ... -1.777 eV per atom

***

The following is a DFT calculation (GGA-PBE) of a relaxed ZnCoIr6 crystal.

a b c (Å): 4.685 4.685 7.687
angles (deg): 114.25 114.25 48.26
Fractional coordinates of all 8 atoms:
1 Zn 0.000 0.000 0.000
2 Co 0.000 0.000 0.500
3 Ir 0.249 0.249 0.873
4 Ir 0.251 0.251 0.377
5 Ir 0.499 0.499 0.258
6 Ir 0.501 0.501 0.742
7 Ir 0.749 0.749 0.623
8 Ir 0.751 0.751 0.127

DFT formation energy ... -0.017 eV per atom
Symmetry ... C2/m

***

The following is a DFT calculation (GGA-PBE) of a relaxed YMg2Al crystal.

a b c (Å): 5.647 5.647 3.292
angles (deg): 90.00 90.00 112.58
Fractional coordinates of all 4 atoms:
1 Y 0.000 0.000 0.000
2 Mg 0.000 0.500 0.500
3 Mg 0.500 0.000 0.500
4 Al 0.500 0.500 0.000

DFT formation energy ... 0.000 eV per atom
Symmetry ... Cmmm